Record 1
## TaCo2Pb (PBE)

Data for TaCo2Pb after structural relaxation.

Summary:
**Formation energy**: 0.611 eV/atom

abc: 6.9449 6.9449 5.6826
angles: 52.33 52.33 90.00
Closest atoms and distances in Å follow each position.
Fractional coordinates of all 8 atoms:
1 Pb 0.0000 0.0000 0.0000  4 Co 2.74, 2 Ta 2.86
2 Pb 0.7500 0.2500 0.5000  4 Co 2.74, 2 Ta 2.86
3 Co 0.5886 0.1250 0.2500  2 Ta 2.39
4 Co 0.1614 0.6250 0.2500  2 Ta 2.39
5 Co 0.3750 0.4114 0.7500  2 Ta 2.39
6 Co 0.8750 0.8386 0.7500  2 Ta 2.39
7 Ta 0.5000 0.5000 0.0000  4 Co 2.39
8 Ta 0.2500 0.7500 0.5000  4 Co 2.39

Record 2
## Ba8Sr2Ac (PBE)

Data for Ba8Sr2Ac after structural relaxation.

Summary:
**Formation energy**: 0.120 eV/atom

abc: 4.4341 10.4397 15.3526
angles: 70.18 81.69 90.00
Closest atoms and distances in Å follow each position.
Fractional coordinates of all 11 atoms:
1 Ba 0.9058 0.5784 0.1578  9 Ba 4.24-4.74, 1 Ac 4.35
2 Ba 0.1348 0.0246 0.6982  6 Ba 4.04-4.43, 1 Ac 4.05, 2 Sr 4.29
3 Ba 0.2964 0.6437 0.3763  8 Ba 4.01-4.43, 2 Sr 4.28
4 Ba 0.4593 0.2888 0.0506  9 Ba 4.18-4.48, 2 Ac 4.25
5 Ba 0.7028 0.3572 0.5628  8 Ba 4.01-4.43, 2 Sr 4.27-4.28
6 Ba 0.8642 0.9762 0.2412  6 Ba 4.04-4.43, 1 Ac 4.04, 2 Sr 4.29
7 Ba 0.0933 0.4218 0.7816  9 Ba 4.24-4.73, 1 Ac 4.35
8 Ba 0.5397 0.7116 0.8886  9 Ba 4.18-4.48, 2 Ac 4.25
9 Sr 0.2949 0.2038 0.3796  9 Ba 4.27-4.77, 4 Sr 4.43-4.74
10 Sr 0.7042 0.7967 0.5598  9 Ba 4.28-4.76, 4 Sr 4.43-4.74
11 Ac 0.9994 0.0000 0.9698  8 Ba 4.04-4.35, 2 Ac 4.43

Record 3
## CsBePb3 (PBE)

Data for CsBePb3 after structural relaxation.

Summary:
**Formation energy**: 0.287 eV/atom

abc: 5.4340 5.4340 5.4340
angles: 90.00 90.00 90.00
Closest atoms and distances in Å follow each position.
Fractional coordinates of all 5 atoms:
1 Pb 0.0000 0.5000 0.0000  2 Be 2.72
2 Pb 0.0000 0.0000 0.5000  2 Be 2.72
3 Pb 0.5000 0.0000 0.0000  2 Be 2.72
4 Cs 0.5000 0.5000 0.5000  12 Pb 3.84
5 Be 0.0000 0.0000 0.0000  6 Pb 2.72

Record 4
## LiAlRh2 (PBE)

Data for LiAlRh2 after structural relaxation.

Summary:
**Formation energy**: -0.473 eV/atom

abc: 8.1153 8.1153 8.1153
angles: 20.32 20.32 20.32
Closest atoms and distances in Å follow each position.
Fractional coordinates of all 4 atoms:
1 Al 0.2500 0.2500 0.2500  6 Rh 2.50
2 Li 0.7500 0.7500 0.7500  6 Rh 2.67, 6 Li 2.86
3 Rh 0.9955 0.9955 0.9955  3 Al 2.50, 3 Li 2.67
4 Rh 0.5045 0.5045 0.5045  3 Al 2.50, 3 Li 2.67

Record 5
## HoPd6Pt (PBE)

Data for HoPd6Pt after structural relaxation.

Summary:
**Formation energy**: -0.428 eV/atom

abc: 4.1069 5.6559 5.6559
angles: 90.00 90.00 90.00
Closest atoms and distances in Å follow each position.
Fractional coordinates of all 8 atoms:
1 Ho 0.5000 0.0000 0.0000  12 Pd 2.83-2.90
2 Pd 0.0000 0.7443 0.2557  8 Pd 2.76-2.89, 2 Pt 2.83, 2 Ho 2.90
3 Pd 0.0000 0.2557 0.7443  8 Pd 2.76-2.89, 2 Pt 2.83, 2 Ho 2.90
4 Pd 0.0000 0.7444 0.7444  8 Pd 2.76-2.89, 2 Pt 2.84, 2 Ho 2.90
5 Pd 0.0000 0.2556 0.2556  8 Pd 2.76-2.89, 2 Pt 2.84, 2 Ho 2.90
6 Pd 0.5000 0.5000 0.0000  2 Ho 2.83, 2 Pt 2.83, 8 Pd 2.87
7 Pd 0.5000 0.0000 0.5000  2 Pt 2.83, 2 Ho 2.83, 8 Pd 2.87
8 Pt 0.5000 0.5000 0.5000  12 Pd 2.83-2.84

Record 6
## CuTc2Br (PBE)

Data for CuTc2Br after structural relaxation.

Summary:
**Energy relative to the elements, uncorrected**: 0.716 eV/atom

abc: 3.1966 3.1942 6.4349
angles: 90.00 90.00 90.00
Closest atoms and distances in Å follow each position.
Fractional coordinates of all 4 atoms:
1 Br 0.5000 0.5000 0.2500  8 Tc 3.04, 4 Br 3.19-3.20, 2 Cu 3.22
2 Cu 0.5000 0.5000 0.7500  8 Tc 2.55
3 Tc 0.0000 0.0000 0.9337  1 Tc 2.36, 4 Cu 2.55
4 Tc 0.0000 0.0000 0.5663  1 Tc 2.36, 4 Cu 2.55

Respective raw total energy values: -54.65; -21.53; -14.27; -22.25; -45.20; -23.64 eV/cell.
Respective size of the total moment values: 0.00; 0.00; 0.00; 0.25; 0.00; 0.00 μB per formula unit.